# 1
Computed, not measured: a geometry-optimized CdAg2SnS4 structure at the PBE level of DFT.

Cell: 6.7975 7.1292 10.7178 Å, 90.00 129.31 90.00°
Fractional coordinates of all 16 atoms:
Cd (0.0000, 0.1734, 0.0000)
Cd (0.0000, 0.8266, 0.5000)
Ag (0.2560, 0.3461, 0.7591)
Ag (0.2560, 0.6539, 0.2591)
Ag (0.5108, 0.1740, 0.5059)
Ag (0.5108, 0.8260, 0.0059)
Sn (0.7517, 0.3252, 0.2553)
Sn (0.7517, 0.6748, 0.7553)
S (0.1093, 0.3215, 0.2541)
S (0.1093, 0.6785, 0.7541)
S (0.3910, 0.1678, 0.0122)
S (0.3910, 0.8322, 0.5122)
S (0.6277, 0.3527, 0.7530)
S (0.6277, 0.6473, 0.2530)
S (0.8812, 0.1693, 0.5003)
S (0.8812, 0.8307, 0.0003)

## Properties
The value obtained for the polymorph energy (0 for the lowest one) is 0.0 meV per atom.

# 2
Computed, not measured: a geometry-optimized CdAg2SnS4 structure at the PBE level of DFT.

Cell: 8.1546 7.2251 6.8087 Å, 90.00 90.00 90.00°
Fractional coordinates of all 16 atoms:
Cd (0.0000, 0.1525, 0.0000)
Cd (0.5000, 0.8475, 0.5000)
Ag (0.2461, 0.3278, 0.5127)
Ag (0.2539, 0.6722, 0.0127)
Ag (0.7461, 0.6722, 0.0127)
Ag (0.7539, 0.3278, 0.5127)
Sn (0.0000, 0.8308, 0.5017)
Sn (0.5000, 0.1692, 0.0017)
S (0.0000, 0.1468, 0.3783)
S (0.0000, 0.8250, 0.8603)
S (0.2432, 0.6644, 0.3869)
S (0.2568, 0.3356, 0.8869)
S (0.5000, 0.1750, 0.3603)
S (0.5000, 0.8532, 0.8783)
S (0.7432, 0.3356, 0.8869)
S (0.7568, 0.6644, 0.3869)

## Properties
The value obtained for the polymorph energy (0 for the lowest one) is 2.4 meV per atom.

# 3
Computed, not measured: a geometry-optimized CdAg2SnTe2S2 structure at the PBE level of DFT.

Cell: 7.6536 7.5565 6.1808 Å, 66.85 65.20 47.95°
Fractional coordinates of all 8 atoms:
Cd (0.0000, 0.0000, 0.0000)
Ag (0.2843, 0.2843, 0.2157)
Ag (0.7843, 0.7843, 0.7157)
Sn (0.5028, 0.5028, 0.4972)
Te (0.3916, 0.8869, 0.1131)
Te (0.8869, 0.3916, 0.6084)
S (0.1489, 0.6238, 0.8511)
S (0.6238, 0.1489, 0.3762)

## Properties
The calculation puts the electronic total energy at -3.396 eV per atom.

# 4
Computed, not measured: a geometry-optimized CdAg2SnTe3S structure at the PBE level of DFT.

Cell: 6.3692 6.3692 7.6988 Å, 113.54 113.54 91.06°
Fractional coordinates of all 8 atoms:
Cd (0.0000, 0.0000, 0.0000)
Ag (0.3024, 0.7531, 0.5384)
Ag (0.7531, 0.3024, 0.5384)
Sn (0.5287, 0.5287, 0.0084)
Te (0.1422, 0.1422, 0.7415)
Te (0.4000, 0.8962, 0.2738)
Te (0.8962, 0.4000, 0.2738)
S (0.6417, 0.6417, 0.7760)

## Properties
The calculation puts the electronic total energy at -3.259 eV per atom.